SmErGe: relaxed, PBE-GGA. Values from VASP.

The structure in Quantum ESPRESSO input format:
```
&SYSTEM
  ibrav = 0, nat = 6, ntyp = 3
/
ATOMIC_SPECIES
Sm 150.36 Sm.upf
Er 167.26 Er.upf
Ge 72.64 Ge.upf
ATOMIC_POSITIONS angstrom
Sm 1.0989 1.0989 1.1874
Sm 3.2967 3.2967 6.9889
Er 1.0989 3.2967 4.0881
Er 3.2967 1.0989 4.0881
Ge 1.0989 1.0989 6.2940
Ge 3.2967 3.2967 1.8823
CELL_PARAMETERS angstrom
4.3956 0.0000 0.0000
0.0000 4.3956 0.0000
0.0000 0.0000 8.1763
```

Computed properties:
N(E_F)   7.87 states/eV/cell
ΔE_f   -0.607 eV/atom


SmErGe2: relaxed, PBE-GGA. Values from VASP.

The structure in Quantum ESPRESSO input format:
```
&SYSTEM
  ibrav = 0, nat = 4, ntyp = 3
/
ATOMIC_SPECIES
Sm 150.36 Sm.upf
Er 167.26 Er.upf
Ge 72.64 Ge.upf
ATOMIC_POSITIONS angstrom
Sm 0.0000 0.0000 0.0000
Er 2.3862 2.3862 0.0000
Ge 0.0000 2.3862 2.0218
Ge 2.3862 0.0000 2.0218
CELL_PARAMETERS angstrom
4.7724 0.0000 0.0000
0.0000 4.7724 0.0000
0.0000 0.0000 4.0437
```

Computed properties:
N(E_F)   3.01 states/eV/cell
ΔE_f   -0.623 eV/atom


SmErGe2: relaxed, PBE-GGA. Values from VASP.

The structure in Quantum ESPRESSO input format:
```
&SYSTEM
  ibrav = 0, nat = 4, ntyp = 3
/
ATOMIC_SPECIES
Sm 150.36 Sm.upf
Er 167.26 Er.upf
Ge 72.64 Ge.upf
ATOMIC_POSITIONS angstrom
Sm 0.0000 0.0000 0.0000
Er 0.0000 0.0000 8.0258
Ge 0.0000 0.0000 3.9147
Ge 0.0000 0.0000 12.1369
CELL_PARAMETERS angstrom
2.3110 1.3342 5.3505
-2.3110 1.3342 5.3505
0.0000 -2.6685 5.3505
```

Computed properties:
N(E_F)   2.41 states/eV/cell
ΔE_f   -0.688 eV/atom


SmErGe2: relaxed, PBE-GGA. Values from VASP.

The structure in Quantum ESPRESSO input format:
```
&SYSTEM
  ibrav = 0, nat = 4, ntyp = 3
/
ATOMIC_SPECIES
Sm 150.36 Sm.upf
Er 167.26 Er.upf
Ge 72.64 Ge.upf
ATOMIC_POSITIONS angstrom
Sm 0.0000 0.0000 0.0000
Er 1.9965 0.0000 7.8249
Ge 0.0000 0.0000 2.9860
Ge 1.9965 0.0000 4.8162
CELL_PARAMETERS angstrom
3.9930 0.0000 0.0000
0.0000 2.1622 5.4018
0.0000 -2.1622 5.4018
```

Computed properties:
N(E_F)   2.73 states/eV/cell
ΔE_f   -0.852 eV/atom


Sm2Er3Ge4: relaxed, PBE-GGA. Values from VASP.

The structure in Quantum ESPRESSO input format:
```
&SYSTEM
  ibrav = 0, nat = 18, ntyp = 3
/
ATOMIC_SPECIES
Sm 150.36 Sm.upf
Er 167.26 Er.upf
Ge 72.64 Ge.upf
ATOMIC_POSITIONS angstrom
Sm 1.3743 1.4080 0.4578
Sm -0.0146 2.4954 3.9977
Sm 5.1503 5.3114 3.0821
Sm 3.7615 6.3988 6.6221
Er 1.2547 5.1853 1.6560
Er -0.1342 6.5248 5.1959
Er 2.5679 0.0000 3.5399
Er 3.9567 3.9034 0.0000
Er 5.2699 1.2820 1.8840
Er 3.8811 2.6214 5.4239
Ge -1.6269 4.2062 5.8940
Ge -0.2381 7.5039 2.3541
Ge 1.4823 1.0257 6.1525
Ge 2.8711 2.8777 2.6125
Ge 2.2646 4.9291 4.4673
Ge 3.6534 6.7810 0.9274
Ge 5.3738 0.3029 4.7257
Ge 6.7626 3.6005 1.1858
CELL_PARAMETERS angstrom
7.9134 0.0000 0.0000
0.0000 7.8068 0.0000
-2.7777 0.0000 7.0798
```

Computed properties:
N(E_F)   10.98 states/eV/cell
ΔE_f   -0.880 eV/atom


SmErGe2: relaxed, PBE-GGA. Values from VASP.

The structure in Quantum ESPRESSO input format:
```
&SYSTEM
  ibrav = 0, nat = 8, ntyp = 3
/
ATOMIC_SPECIES
Sm 150.36 Sm.upf
Er 167.26 Er.upf
Ge 72.64 Ge.upf
ATOMIC_POSITIONS angstrom
Sm 0.0000 0.7689 0.0000
Sm 0.0000 5.0571 4.0091
Er 1.9943 2.1508 5.1136
Er 1.9943 3.6752 1.1045
Ge 0.0000 2.2967 2.8858
Ge 0.0000 3.5293 6.8949
Ge 1.9943 0.6276 2.2349
Ge 1.9943 5.1983 6.2440
CELL_PARAMETERS angstrom
3.9885 0.0000 0.0000
0.0000 5.8259 0.0000
0.0000 0.0000 8.0182
```

Computed properties:
N(E_F)   4.72 states/eV/cell
ΔE_f   -0.849 eV/atom


Sm2Er2Ge3: relaxed, PBE-GGA. Values from VASP.

The structure in Quantum ESPRESSO input format:
```
&SYSTEM
  ibrav = 0, nat = 7, ntyp = 3
/
ATOMIC_SPECIES
Sm 150.36 Sm.upf
Er 167.26 Er.upf
Ge 72.64 Ge.upf
ATOMIC_POSITIONS angstrom
Sm 0.8108 0.0000 2.7945
Sm 8.2681 0.0000 5.1730
Er 3.7017 0.0000 0.6190
Er 5.3772 0.0000 7.3485
Ge 0.0000 0.0000 0.0000
Ge 1.0370 0.0000 5.7721
Ge 8.0420 0.0000 2.1954
CELL_PARAMETERS angstrom
5.3110 -2.2999 0.0000
5.3110 2.2999 0.0000
-1.5431 0.0000 7.9675
```

Computed properties:
N(E_F)   4.00 states/eV/cell
ΔE_f   -0.641 eV/atom


SmErGeTe: relaxed, PBE-GGA. Values from VASP.

The structure in Quantum ESPRESSO input format:
```
&SYSTEM
  ibrav = 0, nat = 4, ntyp = 4
/
ATOMIC_SPECIES
Sm 150.36 Sm.upf
Er 167.26 Er.upf
Ge 72.64 Ge.upf
Te 127.60 Te.upf
ATOMIC_POSITIONS angstrom
Sm 0.0000 0.0000 0.0000
Er 0.0000 0.0000 4.1541
Ge 0.0000 0.0000 13.0161
Te 0.0000 0.0000 9.4165
CELL_PARAMETERS angstrom
2.1275 1.2283 7.2982
-2.1275 1.2283 7.2982
0.0000 -2.4567 7.2982
```

Computed properties:
N(E_F)   0.56 states/eV/cell
DFT total energy   -21.47 eV per cell


SmErTlGe: relaxed, PBE-GGA. Values from VASP.

The structure in Quantum ESPRESSO input format:
```
&SYSTEM
  ibrav = 0, nat = 4, ntyp = 4
/
ATOMIC_SPECIES
Sm 150.36 Sm.upf
Er 167.26 Er.upf
Tl 204.38 Tl.upf
Ge 72.64 Ge.upf
ATOMIC_POSITIONS angstrom
Sm 0.0000 0.0000 0.0000
Er 3.7123 3.7123 3.7123
Tl 5.5684 5.5684 5.5684
Ge 1.8561 1.8561 1.8561
CELL_PARAMETERS angstrom
0.0000 3.7123 3.7123
3.7123 0.0000 3.7123
3.7123 3.7123 0.0000
```

Computed properties:
N(E_F)   2.96 states/eV/cell
ΔE_f   -0.423 eV/atom


Er8Sn5Ge: relaxed, PBE-GGA. Values from VASP.

The structure in Quantum ESPRESSO input format:
```
&SYSTEM
  ibrav = 0, nat = 14, ntyp = 3
/
ATOMIC_SPECIES
Er 167.26 Er.upf
Sn 118.71 Sn.upf
Ge 72.64 Ge.upf
ATOMIC_POSITIONS angstrom
Er 3.9278 2.8271 -1.8096
Er 6.1661 0.6525 0.4551
Er 0.6525 2.9455 -0.4551
Er 0.6280 1.7287 2.7875
Er 3.9033 1.6103 4.1419
Er 1.7287 -0.6280 6.4066
Er 2.8271 5.1838 1.8096
Er -1.6103 3.9033 5.0521
Sn 0.0000 0.0000 0.0000
Sn 2.2760 -1.1122 3.4280
Sn 3.4436 2.2798 1.1690
Sn 2.2798 5.6680 -1.1690
Sn 1.1122 2.2760 5.7660
Ge 0.0000 4.5558 2.2985
CELL_PARAMETERS angstrom
-4.5558 4.5558 4.5970
4.5558 -4.5558 4.5970
4.5558 4.5558 -4.5970
```

Computed properties:
N(E_F)   1.19 states/eV/cell
ΔE_f   -0.721 eV/atom


ErSnGe4: relaxed, PBE-GGA. Values from VASP.

The structure in Quantum ESPRESSO input format:
```
&SYSTEM
  ibrav = 0, nat = 6, ntyp = 3
/
ATOMIC_SPECIES
Er 167.26 Er.upf
Sn 118.71 Sn.upf
Ge 72.64 Ge.upf
ATOMIC_POSITIONS angstrom
Er 0.0000 0.0000 0.0000
Sn 5.9693 5.9693 5.9693
Ge 2.9825 2.9825 2.9825
Ge 4.9766 4.9766 2.9825
Ge 4.9766 2.9825 4.9766
Ge 2.9825 4.9766 4.9766
CELL_PARAMETERS angstrom
0.0000 3.9795 3.9795
3.9795 0.0000 3.9795
3.9795 3.9795 0.0000
```

Computed properties:
N(E_F)   2.34 states/eV/cell
ΔE_f   -0.108 eV/atom


Er2SnGe: relaxed, PBE-GGA. Values from VASP.

The structure in Quantum ESPRESSO input format:
```
&SYSTEM
  ibrav = 0, nat = 8, ntyp = 3
/
ATOMIC_SPECIES
Er 167.26 Er.upf
Sn 118.71 Sn.upf
Ge 72.64 Ge.upf
ATOMIC_POSITIONS angstrom
Er -0.0030 1.0200 3.4205
Er 1.5107 3.0599 0.4771
Er 1.7702 1.0200 7.6326
Er 3.2839 3.0599 4.6893
Sn 0.4125 3.0599 5.7301
Sn 2.8684 1.0200 2.3797
Ge -1.4823 1.0200 6.4702
Ge 4.7632 3.0599 1.6395
CELL_PARAMETERS angstrom
5.9530 0.0000 0.0000
0.0000 4.0799 0.0000
-2.6721 0.0000 8.1097
```

Computed properties:
N(E_F)   4.64 states/eV/cell
ΔE_f   -0.755 eV/atom


Er2SnGe: relaxed, PBE-GGA. Values from VASP.

The structure in Quantum ESPRESSO input format:
```
&SYSTEM
  ibrav = 0, nat = 4, ntyp = 3
/
ATOMIC_SPECIES
Er 167.26 Er.upf
Sn 118.71 Sn.upf
Ge 72.64 Ge.upf
ATOMIC_POSITIONS angstrom
Er 0.0000 0.0000 3.0952
Er 0.0000 0.0000 24.7257
Sn 0.0000 0.0000 0.0000
Ge 0.0000 0.0000 13.9105
CELL_PARAMETERS angstrom
2.0310 1.1726 9.2736
-2.0310 1.1726 9.2736
0.0000 -2.3452 9.2736
```

Computed properties:
N(E_F)   3.70 states/eV/cell
ΔE_f   -0.218 eV/atom